A geometry-optimized Sm5Dy2Th structure. Source: the Alexandria database, functional PBE-GGA.

```
Sm5Dy2Th
1.0
7.1980 0.0000 0.0000
0.0000 14.4056 0.0000
0.0000 0.0000 5.0954
Sm Dy Th
10 4 2
direct
0.0000 0.0000 0.0000 Sm
0.0039 0.2513 0.0000 Sm
0.2469 0.3767 0.5000 Sm
0.2531 0.8767 0.5000 Sm
0.4961 0.7513 0.0000 Sm
0.5000 0.5000 0.0000 Sm
0.5039 0.2487 0.0000 Sm
0.7469 0.1233 0.5000 Sm
0.7531 0.6233 0.5000 Sm
0.9961 0.7487 0.0000 Sm
0.2419 0.6226 0.5000 Dy
0.2581 0.1226 0.5000 Dy
0.7419 0.8774 0.5000 Dy
0.7581 0.3774 0.5000 Dy
0.0000 0.5000 0.0000 Th
0.5000 0.0000 0.0000 Th
```

Computed properties:
- Fermi-level density of states (states/eV/cell) = 22.2
- SG = Pbam
- DFT total energy (eV per cell) = -79.993
- formation energy (eV per atom) = 0.0279